Entry from Alexandria: an optimized crystal structure of Ho12Tm6Zr (GGA-PBE).

Unit cell a=8.547 b=8.547 c=8.547 alpha=98.62 beta=98.62 gamma=98.62
Each line ends with the local moment (μB).
Sites, in units of the cell vectors:
Ho  0.756  0.244  0.500  0.08
Ho  0.351  0.082  0.351  0.04
Ho  0.351  0.351  0.082  0.04
Ho  0.918  0.649  0.649  0.04
Ho  0.649  0.649  0.918  0.04
Ho  0.649  0.918  0.649  0.04
Ho  0.500  0.756  0.244  0.08
Ho  0.244  0.500  0.756  0.08
Ho  0.244  0.756  0.500  0.08
Ho  0.500  0.244  0.756  0.08
Ho  0.756  0.500  0.244  0.08
Ho  0.082  0.351  0.351  0.04
Tm  0.902  0.332  0.902  0.15
Tm  0.902  0.902  0.332  0.15
Tm  0.332  0.902  0.902  0.15
Tm  0.098  0.098  0.668  0.15
Tm  0.098  0.668  0.098  0.15
Tm  0.668  0.098  0.098  0.15
Zr  0.000  0.000  0.000  0.88

Properties
Excess energy over the best structure of this formula in the dataset (meV/atom): 79.2
Crystal system: trigonal
ΔH_f (0 K) (eV/atom): 0.24
Density (Mg/m³): 8.53
SG: No. 166

Entry from Alexandria: an optimized crystal structure of NaYLuTl (GGA-PBE).

Unit cell a=5.359 b=5.359 c=5.359 alpha=60.00 beta=60.00 gamma=60.00
Sites, in units of the cell vectors:
Y  0.000  0.000  0.000
Na  0.250  0.250  0.250
Tl  0.750  0.750  0.750
Lu  0.500  0.500  0.500

Properties
Crystal system: cubic
ΔH_f (0 K) (eV/atom): -0.03
Density (Mg/m³): 7.49
SG: No. 216

Entry from Alexandria: an optimized crystal structure of PrZn9Ni2 (GGA-PBE).

Unit cell a=6.775 b=8.135 c=8.135 alpha=80.02 beta=65.39 gamma=65.39
Sites, in units of the cell vectors:
Pr  0.500  0.000  0.000
Pr  0.250  0.500  0.500
Zn  0.750  0.500  0.500
Zn  0.000  0.000  0.000
Zn  0.016  0.919  0.674
Zn  0.609  0.081  0.326
Zn  0.685  0.174  0.581
Zn  0.441  0.826  0.419
Zn  0.734  0.826  0.581
Zn  0.141  0.174  0.419
Zn  0.065  0.919  0.326
Zn  0.309  0.081  0.674
Zn  0.734  0.581  0.826
Zn  0.141  0.419  0.174
Zn  0.065  0.326  0.919
Zn  0.309  0.674  0.081
Zn  0.016  0.674  0.919
Zn  0.609  0.326  0.081
Zn  0.685  0.581  0.174
Zn  0.441  0.419  0.826
Ni  0.875  0.250  0.750
Ni  0.875  0.750  0.250
Ni  0.875  0.250  0.250
Ni  0.375  0.750  0.750

Properties
Crystal system: tetragonal
ΔH_f (0 K) (eV/atom): -0.28
Density (Mg/m³): 7.59
SG: No. 141